# Al2InPb PBE optimized geometry
data_Al2InPb
_cell_length_a 5.144
_cell_length_b 5.144
_cell_length_c 5.144
_cell_angle_alpha 60.00
_cell_angle_beta 60.00
_cell_angle_gamma 60.00
_symmetry_space_group_name_H-M 'P 1'
_symmetry_Int_Tables_number 1
_symmetry_space_group_name_Hall 'P 1'
loop_
_atom_site_label
_atom_site_fract_x
_atom_site_fract_y
_atom_site_fract_z
Pb1 0.750 0.750 0.750
Al1 0.000 0.000 0.000
Al2 0.250 0.250 0.250
In1 0.500 0.500 0.500
# - E above lowest polymorph (meV/atom) = 119
# - electronic total energy (eV per cell) = -12.88
# - Fermi-level density of states (states/eV per cell) = 2.213
# - ΔH_f (0 K) (eV/f.u.) = 1.052

# AlIn2Pb PBE optimized geometry
data_AlIn2Pb
_cell_length_a 6.136
_cell_length_b 6.136
_cell_length_c 5.595
_cell_angle_alpha 71.11
_cell_angle_beta 71.11
_cell_angle_gamma 31.65
_symmetry_space_group_name_H-M 'P 1'
_symmetry_Int_Tables_number 1
_symmetry_space_group_name_Hall 'P 1'
loop_
_atom_site_label
_atom_site_fract_x
_atom_site_fract_y
_atom_site_fract_z
Pb1 0.750 0.750 0.750
Al1 0.250 0.250 0.250
In1 0.978 0.978 0.018
In2 0.522 0.522 0.482
# - E above lowest polymorph (meV/atom) = 39
# - electronic total energy (eV per cell) = -12.40
# - Fermi-level density of states (states/eV per cell) = 1.827
# - ΔH_f (0 K) (eV/f.u.) = 0.523

# AlIn2Pb PBE optimized geometry
data_AlIn2Pb
_cell_length_a 6.302
_cell_length_b 6.302
_cell_length_c 6.302
_cell_angle_alpha 147.50
_cell_angle_beta 128.54
_cell_angle_gamma 62.20
_symmetry_space_group_name_H-M 'P 1'
_symmetry_Int_Tables_number 1
_symmetry_space_group_name_Hall 'P 1'
loop_
_atom_site_label
_atom_site_fract_x
_atom_site_fract_y
_atom_site_fract_z
Pb1 0.750 0.250 0.500
Al1 0.250 0.750 0.500
In1 0.025 0.025 0.000
In2 0.475 0.475 0.000
# - E above lowest polymorph (meV/atom) = 41
# - electronic total energy (eV per cell) = -12.40
# - Fermi-level density of states (states/eV per cell) = 1.843
# - ΔH_f (0 K) (eV/f.u.) = 0.529

# AlIn2Pb PBE optimized geometry
data_AlIn2Pb
_cell_length_a 3.323
_cell_length_b 3.323
_cell_length_c 10.290
_cell_angle_alpha 90.00
_cell_angle_beta 90.00
_cell_angle_gamma 111.84
_symmetry_space_group_name_H-M 'P 1'
_symmetry_Int_Tables_number 1
_symmetry_space_group_name_Hall 'P 1'
loop_
_atom_site_label
_atom_site_fract_x
_atom_site_fract_y
_atom_site_fract_z
Pb1 0.500 0.500 0.250
Al1 0.500 0.500 0.750
In1 0.000 0.000 0.976
In2 0.000 0.000 0.524
# - E above lowest polymorph (meV/atom) = 56
# - electronic total energy (eV per cell) = -12.33
# - Fermi-level density of states (states/eV per cell) = 1.744
# - ΔH_f (0 K) (eV/f.u.) = 0.593